1.
The following is a DFT calculation (PBE-GGA) of crystalline DyHo3Sc6 at its relaxed geometry.

**Total moment**: 0.24 μB/cell
**Energy**: -5.48 eV/atom
**ΔE_f**: 0.16 eV per atom
**Density of states at the Fermi level**: 31.51 states/eV per cell

Unit cell a=10.381 b=10.381 c=5.838 alpha=90.00 beta=90.00 gamma=119.42
Positions (direct):
Dy: 0.211 0.789 0.500
Dy: 0.789 0.211 0.000
Ho: 0.070 0.280 0.692
Ho: 0.280 0.070 0.192
Ho: 0.395 0.605 0.598
Ho: 0.605 0.395 0.098
Ho: 0.720 0.930 0.692
Ho: 0.930 0.720 0.192
Sc: 0.030 0.459 0.297
Sc: 0.048 0.952 0.729
Sc: 0.282 0.386 0.140
Sc: 0.287 0.713 0.022
Sc: 0.386 0.282 0.640
Sc: 0.459 0.030 0.797
Sc: 0.541 0.970 0.297
Sc: 0.614 0.718 0.140
Sc: 0.713 0.287 0.522
Sc: 0.718 0.614 0.640
Sc: 0.952 0.048 0.229
Sc: 0.970 0.541 0.797

---

2.
The following is a DFT calculation (PBE-GGA) of crystalline LaHoMnAg at its relaxed geometry.

**Total moment**: 12.25 μB/cell
**Energy**: -5.35 eV/atom
**ΔE_f**: 0.03 eV per atom
**Density of states at the Fermi level**: 16.63 states/eV per cell

Unit cell a=7.369 b=7.369 c=7.369 alpha=90.00 beta=90.00 gamma=90.00
Positions (direct):
La: 0.000 0.000 0.000
La: 0.000 0.500 0.500
La: 0.500 0.000 0.500
La: 0.500 0.500 0.000
Ho: 0.000 0.000 0.500
Ho: 0.000 0.500 0.000
Ho: 0.500 0.000 0.000
Ho: 0.500 0.500 0.500
Mn: 0.250 0.250 0.750
Mn: 0.250 0.750 0.250
Mn: 0.750 0.250 0.250
Mn: 0.750 0.750 0.750
Ag: 0.250 0.250 0.250
Ag: 0.250 0.750 0.750
Ag: 0.750 0.250 0.750
Ag: 0.750 0.750 0.250

---

3.
The following is a DFT calculation (PBE-GGA) of crystalline Ba6Sr5Ac at its relaxed geometry.

**Total moment**: 0.00 μB/cell
**Energy**: -1.98 eV/atom
**ΔE_f**: 0.03 eV per atom
**Density of states at the Fermi level**: 12.48 states/eV per cell

Unit cell a=11.872 b=11.872 c=11.872 alpha=146.47 beta=131.50 gamma=60.25
Positions (direct):
Ba: 0.082 0.337 0.745
Ba: 0.240 0.000 0.240
Ba: 0.409 0.663 0.745
Ba: 0.591 0.337 0.255
Ba: 0.760 0.000 0.760
Ba: 0.918 0.663 0.255
Sr: 0.168 0.168 0.000
Sr: 0.334 0.834 0.500
Sr: 0.500 0.500 0.000
Sr: 0.666 0.166 0.500
Sr: 0.832 0.832 0.000
Ac: 0.000 0.500 0.500

---

4.
The following is a DFT calculation (PBE-GGA) of crystalline Sm2Dy6Ho3In at its relaxed geometry.

**Total moment**: 0.00 μB/cell
**Energy**: -4.51 eV/atom
**ΔE_f**: -0.05 eV per atom
**Density of states at the Fermi level**: 15.39 states/eV per cell

Unit cell a=6.084 b=6.084 c=11.678 alpha=94.99 beta=94.99 gamma=120.04
Positions (direct):
Sm: 0.166 0.834 0.000
Sm: 0.834 0.166 0.000
Dy: 0.089 0.417 0.751
Dy: 0.256 0.256 0.251
Dy: 0.417 0.089 0.751
Dy: 0.583 0.911 0.249
Dy: 0.744 0.744 0.749
Dy: 0.911 0.583 0.249
Ho: 0.000 0.000 0.500
Ho: 0.333 0.667 0.500
Ho: 0.667 0.333 0.500
In: 0.500 0.500 0.000

---

5.
The following is a DFT calculation (PBE-GGA) of crystalline La2Pm3Au2 at its relaxed geometry.

**Total moment**: 0.00 μB/cell
**Energy**: -4.85 eV/atom
**ΔE_f**: -0.47 eV per atom
**Density of states at the Fermi level**: 17.44 states/eV per cell

Unit cell a=13.002 b=3.898 c=9.476 alpha=90.00 beta=115.89 gamma=90.00
Positions (direct):
La: 0.155 0.000 0.316
La: 0.345 0.500 0.684
La: 0.655 0.500 0.316
La: 0.845 0.000 0.684
Pm: 0.000 0.500 0.500
Pm: 0.115 0.500 0.946
Pm: 0.385 0.000 0.054
Pm: 0.500 0.000 0.500
Pm: 0.615 0.000 0.946
Pm: 0.885 0.500 0.054
Au: 0.165 0.000 0.732
Au: 0.335 0.500 0.268
Au: 0.665 0.500 0.732
Au: 0.835 0.000 0.268

---

6.
The following is a DFT calculation (PBE-GGA) of crystalline Cs2CdBiH at its relaxed geometry.

**Total moment**: 0.00 μB/cell
**Energy**: -2.26 eV/atom

Unit cell a=8.054 b=4.940 c=11.068 alpha=90.00 beta=109.61 gamma=90.00
Positions (direct):
Cs: 0.198 0.250 0.402
Cs: 0.217 0.250 0.956
Cs: 0.783 0.750 0.044
Cs: 0.802 0.750 0.598
Cd: 0.450 0.750 0.239
Cd: 0.550 0.250 0.761
Bi: 0.345 0.750 0.711
Bi: 0.655 0.250 0.289
H: 0.201 0.750 0.171
H: 0.799 0.250 0.829

---

7.
The following is a DFT calculation (PBE-GGA) of crystalline ScReIr2 at its relaxed geometry.

**Total moment**: 0.00 μB/cell
**Energy**: -8.84 eV/atom
**ΔE_f**: 0.29 eV per atom
**Density of states at the Fermi level**: 16.50 states/eV per cell

Unit cell a=4.061 b=4.061 c=17.258 alpha=90.00 beta=90.00 gamma=90.00
Positions (direct):
Sc: 0.000 0.000 0.000
Sc: 0.000 0.500 0.250
Sc: 0.500 0.000 0.750
Sc: 0.500 0.500 0.500
Re: 0.000 0.000 0.500
Re: 0.000 0.500 0.750
Re: 0.500 0.000 0.250
Re: 0.500 0.500 0.000
Ir: 0.227 0.250 0.625
Ir: 0.250 0.727 0.875
Ir: 0.250 0.773 0.375
Ir: 0.273 0.250 0.125
Ir: 0.727 0.750 0.125
Ir: 0.750 0.227 0.375
Ir: 0.750 0.273 0.875
Ir: 0.773 0.750 0.625

---

8.
The following is a DFT calculation (PBE-GGA) of crystalline LiPaGaAu at its relaxed geometry.

**Total moment**: 0.00 μB/cell
**Energy**: -4.71 eV/atom
**ΔE_f**: -0.29 eV per atom
**Density of states at the Fermi level**: 14.14 states/eV per cell

Unit cell a=6.872 b=6.872 c=6.872 alpha=90.00 beta=90.00 gamma=90.00
Positions (direct):
Li: 0.000 0.000 0.000
Li: 0.000 0.500 0.500
Li: 0.500 0.000 0.500
Li: 0.500 0.500 0.000
Pa: 0.000 0.000 0.500
Pa: 0.000 0.500 0.000
Pa: 0.500 0.000 0.000
Pa: 0.500 0.500 0.500
Ga: 0.250 0.250 0.750
Ga: 0.250 0.750 0.250
Ga: 0.750 0.250 0.250
Ga: 0.750 0.750 0.750
Au: 0.250 0.250 0.250
Au: 0.250 0.750 0.750
Au: 0.750 0.250 0.750
Au: 0.750 0.750 0.250